Compound: TaTi2BrO
Source: Alexandria via LeMat-Bulk
Functional: PBE-GGA
Structure: relaxed

Lattice parameters (Å, degrees): 4.2462 4.2462 4.2338 90.00 90.00 90.00
Fractional coordinates of all 5 atoms:
Ta 0.0000 0.0000 0.0000
Ti 0.0000 0.5000 0.5000
Ti 0.5000 0.0000 0.5000
Br 0.5000 0.5000 0.0000
O 0.0000 0.0000 0.5000

Computed properties:
Space group ... P4/mmm, No. 123
Formation energy without anion corrections ... -35 kJ per mole of atoms
Calculated volume ... 15.268 Å³/atom